1.
Er3BiB2Rh9 | GGA-PBE | optimized geometry

Values from the calculation:
energy of formation = -56 kJ/mol of atoms
magnetization = 0.0 μB/f.u.
theoretical density = 10.3 g/cm³

Lattice parameters (Å, degrees): 5.8395 5.8395 9.0945 90.00 90.00 120.00
Last column: nearest neighbours and their distance in Å.
Fractional coordinates of all 15 atoms:
Er: 0.0000 0.0000 0.0000  12 Rh 2.86-2.92
Er: 0.3333 0.6667 0.7263  9 Rh 2.92-3.01
Er: 0.6667 0.3333 0.2737  9 Rh 2.92-3.01
Bi: 0.0000 0.0000 0.5000  6 Rh 2.73
B: 0.3333 0.6667 0.1436  6 Rh 2.04-2.13
B: 0.6667 0.3333 0.8564  6 Rh 2.04-2.13
Rh: 0.0000 0.5000 0.0000  2 B 2.13
Rh: 0.1607 0.3214 0.2592  1 B 2.04
Rh: 0.1607 0.8393 0.2592  1 B 2.04
Rh: 0.3214 0.1607 0.7408  1 B 2.04
Rh: 0.5000 0.0000 0.0000  2 B 2.13
Rh: 0.5000 0.5000 0.0000  2 B 2.13
Rh: 0.6786 0.8393 0.2592  1 B 2.04
Rh: 0.8393 0.1607 0.7408  1 B 2.04
Rh: 0.8393 0.6786 0.7408  1 B 2.04

---

2.
BiB2F | GGA-PBE | optimized geometry

Values from the calculation:
magnetization = 0.0 μB/f.u.
formation energy without anion corrections = 0.274 eV/atom
theoretical density = 6.8 g/cm³

Lattice parameters (Å, degrees): 10.7179 10.7179 10.7179 161.70 161.70 26.00
Last column: nearest neighbours and their distance in Å.
Fractional coordinates of all 8 atoms:
Bi: 0.3750 0.6250 0.7500  4 F 2.41
Bi: 0.6250 0.3750 0.2500  4 F 2.41
B: 0.0000 0.0000 0.0000  2 B 1.70
B: 0.0000 0.0000 0.5000  2 B 1.70
B: 0.0000 0.5000 0.0000  2 B 1.70
B: 0.5000 0.0000 0.5000  2 B 1.70
F: 0.1250 0.8750 0.2500  4 Bi 2.41
F: 0.8750 0.1250 0.7500  4 Bi 2.41

---

3.
BiBF3 | GGA-PBE | optimized geometry

Values from the calculation:
magnetization = 0.0 μB/f.u.
formation energy without anion corrections = -0.529 eV/atom
theoretical density = 6.8 g/cm³

Lattice parameters (Å, degrees): 4.0762 4.0762 4.0762 90.00 90.00 90.00
Last column: nearest neighbours and their distance in Å.
Fractional coordinates of all 5 atoms:
Bi: 0.0000 0.0000 0.0000  12 F 2.88
B: 0.5000 0.5000 0.5000  6 F 2.04
F: 0.0000 0.5000 0.5000  2 B 2.04
F: 0.5000 0.0000 0.5000  2 B 2.04
F: 0.5000 0.5000 0.0000  2 B 2.04

---

4.
BiBF2 | GGA-PBE | optimized geometry

Values from the calculation:
magnetization = 0.2 μB/f.u.
formation energy without anion corrections = -0.793 eV/atom
theoretical density = 4.4 g/cm³

Lattice parameters (Å, degrees): 10.7822 10.7822 10.7822 17.42 17.42 17.42
Last column: nearest neighbours and their distance in Å.
Fractional coordinates of all 4 atoms:
Bi: 0.0000 0.0000 0.0000  6 Bi 3.27
B: 0.5000 0.5000 0.5000  2 F 1.32
F: 0.4586 0.4586 0.4586  1 B 1.32
F: 0.5414 0.5414 0.5414  1 B 1.32

---

5.
BiBF | GGA-PBE | optimized geometry

Values from the calculation:
magnetization = 0.0 μB/f.u.
formation energy without anion corrections = -0.406 eV/atom
theoretical density = 6.8 g/cm³

Lattice parameters (Å, degrees): 5.8985 5.8985 5.8173 90.00 90.00 120.00
Last column: nearest neighbours and their distance in Å.
Fractional coordinates of all 9 atoms:
Bi: 0.0130 0.7542 0.0000  3 B 2.59-2.65
Bi: 0.2458 0.2587 0.6667  3 B 2.59-2.65
Bi: 0.7413 0.9870 0.3333  3 B 2.59-2.65
B: 0.3605 0.0835 0.2903  1 F 1.36
B: 0.7230 0.6395 0.6237  1 F 1.36
B: 0.9165 0.2770 0.9570  1 F 1.36
F: 0.4579 0.3133 0.1732  1 B 1.36
F: 0.6867 0.1446 0.8399  1 B 1.36
F: 0.8554 0.5421 0.5066  1 B 1.36

---

6.
BiBF2 | GGA-PBE | optimized geometry

Values from the calculation:
magnetization = 0.2 μB/f.u.
formation energy without anion corrections = -0.212 eV/atom
theoretical density = 5.8 g/cm³

Lattice parameters (Å, degrees): 7.3311 7.3311 7.3311 27.46 27.46 27.46
Last column: nearest neighbours and their distance in Å.
Fractional coordinates of all 4 atoms:
Bi: 0.0000 0.0000 0.0000  2 F 2.32
B: 0.5000 0.5000 0.5000  6 F 2.34
F: 0.1098 0.1098 0.1098  1 Bi 2.32, 3 B 2.34
F: 0.8902 0.8902 0.8902  1 Bi 2.32, 3 B 2.34

---

7.
BiB2F | GGA-PBE | optimized geometry

Values from the calculation:
magnetization = 0.0 μB/f.u.
formation energy without anion corrections = 1.097 eV/atom
theoretical density = 7.5 g/cm³

Lattice parameters (Å, degrees): 4.2839 4.2839 4.2839 60.00 60.00 60.00
Last column: nearest neighbours and their distance in Å.
Fractional coordinates of all 4 atoms:
Bi: 0.0000 0.0000 0.0000  8 B 2.62
B: 0.2500 0.2500 0.2500  4 F 2.62, 4 Bi 2.62
B: 0.7500 0.7500 0.7500  4 F 2.62, 4 Bi 2.62
F: 0.5000 0.5000 0.5000  8 B 2.62

---

8.
Bi2BF | GGA-PBE | optimized geometry

Values from the calculation:
magnetization = 0.0 μB/f.u.
formation energy without anion corrections = 0.048 eV/atom
theoretical density = 10.2 g/cm³

Lattice parameters (Å, degrees): 4.6919 4.6919 4.6919 60.00 60.00 60.00
Last column: nearest neighbours and their distance in Å.
Fractional coordinates of all 4 atoms:
Bi: 0.2500 0.2500 0.2500  4 F 2.87, 4 B 2.87
Bi: 0.7500 0.7500 0.7500  4 F 2.87, 4 B 2.87
B: 0.0000 0.0000 0.0000  8 Bi 2.87
F: 0.5000 0.5000 0.5000  8 Bi 2.87

---

9.
BiBF3 | GGA-PBE | optimized geometry

Values from the calculation:
magnetization = 1.0 μB/f.u.
formation energy without anion corrections = -0.726 eV/atom
theoretical density = 4.7 g/cm³

Lattice parameters (Å, degrees): 4.5939 4.5939 4.5939 90.00 90.00 90.00
Last column: nearest neighbours and their distance in Å.
Fractional coordinates of all 5 atoms:
Bi: 0.0000 0.0000 0.0000  6 F 2.30
B: 0.5000 0.5000 0.5000  12 F 3.25
F: 0.0000 0.0000 0.5000  2 Bi 2.30
F: 0.0000 0.5000 0.0000  2 Bi 2.30
F: 0.5000 0.0000 0.0000  2 Bi 2.30

---

10.
BiB2F2 | GGA-PBE | optimized geometry

Values from the calculation:
magnetization = 0.0 μB/f.u.
formation energy without anion corrections = 0.340 eV/atom
theoretical density = 5.5 g/cm³

Lattice parameters (Å, degrees): 7.7139 7.7139 2.7438 90.00 90.00 90.00
Last column: nearest neighbours and their distance in Å.
Fractional coordinates of all 10 atoms:
Bi: 0.0000 0.0000 0.0000  2 Bi 2.74
Bi: 0.5000 0.5000 0.0000  2 Bi 2.74
B: 0.2097 0.2903 0.5000  2 F 1.71
B: 0.2903 0.7903 0.5000  2 F 1.71
B: 0.7097 0.2097 0.5000  2 F 1.71
B: 0.7903 0.7097 0.5000  2 F 1.71
F: 0.1166 0.3834 0.0000  2 B 1.71
F: 0.3834 0.8834 0.0000  2 B 1.71
F: 0.6166 0.1166 0.0000  2 B 1.71
F: 0.8834 0.6166 0.0000  2 B 1.71

---

11.
BiBF2 | GGA-PBE | optimized geometry

Values from the calculation:
magnetization = 0.0 μB/f.u.
formation energy without anion corrections = -0.112 eV/atom
theoretical density = 7.5 g/cm³

Lattice parameters (Å, degrees): 4.3210 4.3210 4.3210 60.00 60.00 60.00
Last column: nearest neighbours and their distance in Å.
Fractional coordinates of all 4 atoms:
Bi: 0.0000 0.0000 0.0000  8 F 2.65
B: 0.5000 0.5000 0.5000  8 F 2.65
F: 0.2500 0.2500 0.2500  4 B 2.65, 4 Bi 2.65
F: 0.7500 0.7500 0.7500  4 B 2.65, 4 Bi 2.65

---

12.
Bi2BF | GGA-PBE | optimized geometry

Values from the calculation:
magnetization = 0.0 μB/f.u.
formation energy without anion corrections = -0.036 eV/atom
theoretical density = 7.6 g/cm³

Lattice parameters (Å, degrees): 7.0186 7.0186 7.0186 130.67 130.67 72.34
Last column: nearest neighbours and their distance in Å.
Fractional coordinates of all 8 atoms:
Bi: 0.0925 0.6250 0.9675  2 B 2.40, 2 F 2.62
Bi: 0.3750 0.3425 0.4675  2 B 2.40, 2 F 2.62
Bi: 0.6575 0.1250 0.0325  2 B 2.40, 2 F 2.62
Bi: 0.8750 0.9075 0.5325  2 B 2.40, 2 F 2.62
B: 0.0000 0.0000 0.0000  4 Bi 2.40
B: 0.7500 0.2500 0.5000  4 Bi 2.40
F: 0.2500 0.7500 0.5000  4 Bi 2.62
F: 0.5000 0.5000 0.0000  4 Bi 2.62

---

13.
BiB2F2 | GGA-PBE | optimized geometry

Values from the calculation:
magnetization = 0.0 μB/f.u.
formation energy without anion corrections = 0.061 eV/atom
theoretical density = 6.4 g/cm³

Lattice parameters (Å, degrees): 8.8107 8.8107 8.8107 161.42 161.42 26.39
Last column: nearest neighbours and their distance in Å.
Fractional coordinates of all 5 atoms:
Bi: 0.0000 0.0000 0.0000  8 F 2.65, 4 Bi 2.84
B: 0.2500 0.7500 0.5000  4 B 2.01
B: 0.7500 0.2500 0.5000  4 B 2.01
F: 0.3998 0.3998 0.0000  4 Bi 2.65, 4 F 2.84, 4 B 2.94
F: 0.6002 0.6002 0.0000  4 Bi 2.65, 4 F 2.84, 4 B 2.94

---

14.
BiBF2 | GGA-PBE | optimized geometry

Values from the calculation:
magnetization = 0.0 μB/f.u.
formation energy without anion corrections = -0.392 eV/atom
theoretical density = 6.7 g/cm³

Lattice parameters (Å, degrees): 5.6656 5.6656 5.6656 60.00 60.00 60.00
Last column: nearest neighbours and their distance in Å.
Fractional coordinates of all 8 atoms:
Bi: 0.1250 0.1250 0.1250  12 F 3.32, 4 Bi 3.47, 4 B 3.47
Bi: 0.8750 0.8750 0.8750  12 F 3.32, 4 B 3.47, 4 Bi 3.47
B: 0.3750 0.3750 0.3750  4 F 1.73
B: 0.6250 0.6250 0.6250  4 F 1.73
F: 0.0000 0.5000 0.5000  2 B 1.73
F: 0.5000 0.0000 0.5000  2 B 1.73
F: 0.5000 0.5000 0.0000  2 B 1.73
F: 0.5000 0.5000 0.5000  2 B 1.73

---

15.
Hg2BiBF | GGA-PBE | optimized geometry

Values from the calculation:
magnetization = 0.0 μB/f.u.
formation energy without anion corrections = 0.651 eV/atom
theoretical density = 8.3 g/cm³

Lattice parameters (Å, degrees): 5.2536 5.2536 4.6271 90.00 90.00 90.00
Last column: nearest neighbours and their distance in Å.
Fractional coordinates of all 5 atoms:
Hg: 0.0000 0.5000 0.0000  2 F 2.63
Hg: 0.5000 0.0000 0.0000  2 F 2.63
Bi: 0.0000 0.0000 0.5000  2 F 2.31
B: 0.5000 0.5000 0.5000  8 Hg 3.50, 4 Bi 3.71
F: 0.0000 0.0000 0.0000  2 Bi 2.31

---

16.
BiBIrF2 | GGA-PBE | optimized geometry

Values from the calculation:
magnetization = 0.0 μB/f.u.
formation energy without anion corrections = -0.271 eV/atom
theoretical density = 10.6 g/cm³

Lattice parameters (Å, degrees): 3.9121 3.9121 4.5872 90.00 90.00 90.00
Last column: nearest neighbours and their distance in Å.
Fractional coordinates of all 5 atoms:
Bi: 0.0000 0.0000 0.0000  4 Ir 2.77, 8 F 3.01
B: 0.5000 0.5000 0.5000  4 F 1.96
Ir: 0.5000 0.5000 0.0000  2 B 2.29
F: 0.0000 0.5000 0.5000  2 B 1.96
F: 0.5000 0.0000 0.5000  2 B 1.96

---

17.
BiBN2F | GGA-PBE | optimized geometry

Values from the calculation:
magnetization = 1.5 μB/f.u.
formation energy without anion corrections = 1.694 eV/atom
theoretical density = 5.2 g/cm³

Lattice parameters (Å, degrees): 4.3680 4.3680 4.4518 90.00 90.00 90.00
Last column: nearest neighbours and their distance in Å.
Fractional coordinates of all 5 atoms:
Bi: 0.0000 0.0000 0.0000  4 N 2.18, 2 F 2.23
B: 0.5000 0.5000 0.5000  4 F 3.09, 8 N 3.12
N: 0.0000 0.5000 0.0000  2 Bi 2.18
N: 0.5000 0.0000 0.0000  2 Bi 2.18
F: 0.0000 0.0000 0.5000  2 Bi 2.23

---

18.
BiBN2F | GGA-PBE | optimized geometry

Values from the calculation:
magnetization = 0.0 μB/f.u.
formation energy without anion corrections = 0.354 eV/atom
theoretical density = 9.0 g/cm³

Lattice parameters (Å, degrees): 3.5329 3.5329 3.9413 90.00 90.00 90.00
Last column: nearest neighbours and their distance in Å.
Fractional coordinates of all 5 atoms:
Bi: 0.0000 0.0000 0.0000  4 F 2.50, 8 N 2.65
B: 0.5000 0.5000 0.5000  4 N 1.77, 2 F 1.97
N: 0.0000 0.5000 0.5000  2 B 1.77
N: 0.5000 0.0000 0.5000  2 B 1.77
F: 0.5000 0.5000 0.0000  2 B 1.97

---

19.
BiBOF2 | GGA-PBE | optimized geometry

Values from the calculation:
magnetization = 0.1 μB/f.u.
formation energy without anion corrections = -0.396 eV/atom
theoretical density = 4.9 g/cm³

Lattice parameters (Å, degrees): 4.5752 4.5752 4.4280 90.00 90.00 90.00
Last column: nearest neighbours and their distance in Å.
Fractional coordinates of all 5 atoms:
Bi: 0.0000 0.0000 0.0000  2 O 2.21, 4 F 2.29
B: 0.5000 0.5000 0.5000  8 F 3.18, 4 O 3.24
O: 0.0000 0.0000 0.5000  2 Bi 2.21
F: 0.0000 0.5000 0.0000  2 Bi 2.29
F: 0.5000 0.0000 0.0000  2 Bi 2.29

---

20.
Bi2BOF | GGA-PBE | optimized geometry

Values from the calculation:
magnetization = 0.0 μB/f.u.
formation energy without anion corrections = -0.352 eV/atom
theoretical density = 8.9 g/cm³

Lattice parameters (Å, degrees): 5.3573 5.3573 3.0038 90.00 90.00 90.00
Last column: nearest neighbours and their distance in Å.
Fractional coordinates of all 5 atoms:
Bi: 0.0000 0.5000 0.0000  2 B 2.68
Bi: 0.5000 0.0000 0.0000  2 B 2.68
B: 0.0000 0.0000 0.0000  2 O 1.50
O: 0.0000 0.0000 0.5000  2 B 1.50
F: 0.5000 0.5000 0.5000  2 F 3.00, 8 Bi 3.07